First-principles (PBE) data for Al4IrPd3 after structural relaxation, as listed in Alexandria.

total magnetic moment: 0.00 μB/cell
formation energy from the elements: -20.296 kcal/mol of atoms
symmetry: P4/mmm (123)

Cell lengths 2.990, 2.990, 12.836 Å; angles 90.00, 90.00, 90.00 degrees
Sites, in units of the cell vectors:
Al: 0.000 0.000 0.122
Al: 0.000 0.000 0.374
Al: 0.000 0.000 0.626
Al: 0.000 0.000 0.878
Ir: 0.500 0.500 0.000
Pd: 0.500 0.500 0.248
Pd: 0.500 0.500 0.500
Pd: 0.500 0.500 0.752

***

First-principles (PBE) data for Al4Ir3Pd after structural relaxation, as listed in Alexandria.

total magnetic moment: 0.00 μB/cell
formation energy from the elements: -20.820 kcal/mol of atoms
symmetry: P4/mmm (123)

Cell lengths 4.306, 4.306, 6.013 Å; angles 90.00, 90.00, 90.00 degrees
Sites, in units of the cell vectors:
Al: 0.000 0.500 0.250
Al: 0.000 0.500 0.750
Al: 0.500 0.000 0.250
Al: 0.500 0.000 0.750
Ir: 0.000 0.000 0.000
Ir: 0.000 0.000 0.500
Ir: 0.500 0.500 0.000
Pd: 0.500 0.500 0.500